Entry 1:
Compound: DyHo3Sc4
Source: Alexandria
Functional: GGA-PBE
Structure: optimized geometry

```
DyHo3Sc4
1.0
10.7521 0.0000 0.0000
0.0000 6.9243 0.0000
0.0000 0.0000 5.9994
Dy Ho Sc
2 6 8
Cartesian
0.0000 0.9243 0.0000
5.3761 6.0000 2.9997
0.0000 6.0021 2.9966
2.6898 0.9238 2.0481
2.6862 6.0006 5.0478
5.3761 0.9222 5.9963
8.0623 0.9238 2.0481
8.0659 6.0006 5.0478
0.0000 2.6505 3.0437
0.0000 4.2750 0.0422
2.6915 2.6497 5.0034
2.6846 4.2746 2.0037
5.3761 2.6493 3.0419
5.3761 4.2738 0.0440
8.0606 2.6497 5.0034
8.0676 4.2746 2.0037
```

Output
density	6.22	g/cm3
energy relative to the elements	0.20	eV per formula unit
size of the total moment	0.0	μB/cell
D(E_F)	1.95	states/eV/atom

---

Entry 2:
Compound: TcSnS2Cl
Source: Alexandria
Functional: GGA-PBE
Structure: optimized geometry

```
TcSnS2Cl
1.0
4.6642 0.0000 0.0000
0.0000 4.6642 0.0000
0.0000 0.0000 4.9375
Tc Sn S Cl
1 1 2 1
Cartesian
0.0000 0.0000 0.0000
2.3321 2.3321 2.4688
0.0000 2.3321 0.0000
2.3321 0.0000 0.0000
0.0000 0.0000 2.4688
```

Output
density	4.89	g/cm3
energy relative to the elements, uncorrected	-40	meV/atom
size of the total moment	0.9	μB/cell
D(E_F)	0.84	states/eV/atom

---

Entry 3:
Compound: HfAlTe
Source: Alexandria
Functional: GGA-PBE
Structure: optimized geometry

```
HfAlTe
1.0
4.0835 0.0000 0.0000
-2.0417 3.5364 0.0000
0.0000 0.0000 10.4223
Hf Al Te
2 2 2
Cartesian
0.0000 0.0000 1.9038
0.0000 0.0000 8.5185
0.0000 2.3576 0.2571
2.0417 1.1788 10.1652
0.0000 2.3576 6.7979
2.0417 1.1788 3.6244
```

Output
density	7.35	g/cm3
energy relative to the elements, uncorrected	-430	meV/atom
size of the total moment	0.0	μB/cell
D(E_F)	0.35	states/eV/atom

---

Entry 4:
Compound: CrSbCl2
Source: Alexandria
Functional: GGA-PBE
Structure: optimized geometry

```
CrSbCl2
1.0
1.7164 0.9910 9.3951
-1.7164 0.9910 9.3951
0.0000 -1.9819 9.3951
Cr Sb Cl
1 1 2
Cartesian
0.0000 0.0000 0.0000
0.0000 0.0000 14.0926
0.0000 0.0000 2.2802
0.0000 0.0000 25.9050
```

Output
density	4.24	g/cm3
energy relative to the elements, uncorrected	-26	meV/atom
size of the total moment	4.5	μB/cell
D(E_F)	0.40	states/eV/atom

---

Entry 5:
Compound: IrCSeBr2
Source: Alexandria
Functional: GGA-PBE
Structure: optimized geometry

```
IrCSeBr2
1.0
4.5499 0.0000 0.0000
0.0000 4.5499 0.0000
0.0000 0.0000 4.3484
Ir C Se Br
1 1 1 2
Cartesian
0.0000 0.0000 0.0000
2.2750 2.2750 2.1742
2.2750 2.2750 0.0000
0.0000 2.2750 2.1742
2.2750 0.0000 2.1742
```

Output
density	8.17	g/cm3
energy relative to the elements, uncorrected	1826	meV/atom
size of the total moment	1.4	μB/cell
D(E_F)	1.08	states/eV/atom

---

Entry 6:
Compound: Tc5C
Source: Alexandria
Functional: GGA-PBE
Structure: optimized geometry

```
Tc5C
1.0
2.7249 0.0000 0.0000
0.0000 2.7249 0.0000
0.0000 0.0000 10.4677
Tc C
5 1
Cartesian
0.0000 0.0000 0.0000
0.0000 0.0000 3.9461
0.0000 0.0000 6.5216
1.3625 1.3625 1.9439
1.3625 1.3625 8.5238
1.3625 1.3625 5.2338
```

Output
density	10.73	g/cm3
energy relative to the elements	1.62	eV per formula unit
size of the total moment	0.0	μB/cell
D(E_F)	0.79	states/eV/atom

---

Entry 7:
Compound: ZnFe2SnSe
Source: Alexandria
Functional: GGA-PBE
Structure: optimized geometry

```
ZnFe2SnSe
1.0
4.5842 0.0000 0.0000
0.0000 4.5842 0.0000
0.0000 0.0000 4.6842
Zn Fe Sn Se
1 2 1 1
Cartesian
0.0000 0.0000 0.0000
0.0000 2.2921 0.0000
2.2921 0.0000 0.0000
2.2921 2.2921 2.3421
0.0000 0.0000 2.3421
```

Output
density	6.32	g/cm3
energy relative to the elements, uncorrected	888	meV/atom
size of the total moment	5.3	μB/cell
D(E_F)	0.78	states/eV/atom

---

Entry 8:
Compound: NdMnSe3
Source: Alexandria
Functional: GGA-PBE
Structure: optimized geometry

```
NdMnSe3
1.0
12.2209 0.0000 0.0000
0.0000 3.9857 0.0000
0.0000 0.0000 9.7454
Nd Mn Se
4 4 12
Cartesian
2.2454 0.9964 0.1509
3.8651 2.9893 5.0236
8.3559 0.9964 4.7218
9.9755 2.9893 9.5945
0.3526 2.9893 6.5835
5.7578 0.9964 1.7108
6.4631 2.9893 8.0346
11.8683 0.9964 3.1619
0.4336 2.9893 1.5618
1.4171 0.9964 5.0696
2.5396 2.9893 7.7509
3.5709 0.9964 2.8782
4.6934 2.9893 0.1969
5.6769 0.9964 6.4345
6.5441 2.9893 3.3109
7.5276 0.9964 9.5485
8.6501 2.9893 6.8671
9.6813 0.9964 1.9945
10.8038 2.9893 4.6758
11.7873 0.9964 8.1836
```

Output
density	6.10	g/cm3
energy relative to the elements, uncorrected	-1107	meV/atom
size of the total moment	16.0	μB/cell
D(E_F)	0.19	states/eV/atom